1.
Compound: PrNd3Pb
Source: Alexandria via LeMat-Bulk
Functional: GGA-PBE
Structure: optimized geometry

The crystal system is monoclinic. As for the formation energy from the elements: -171 meV/atom.

```
data_PrNd3Pb
_chemical_formula_sum 'Pr4 Nd12 Pb4'
_cell_length_a 8.860
_cell_length_b 9.273
_cell_length_c 9.807
_cell_angle_alpha 121.57
_cell_angle_beta 90.00
_cell_angle_gamma 90.00
_symmetry_space_group_name_H-M 'P 1'
_symmetry_Int_Tables_number 1
loop_
_symmetry_equiv_pos_as_xyz
'x,y,z'
loop_
_atom_site_label
_atom_site_fract_x
_atom_site_fract_y
_atom_site_fract_z
Nd1 0.696 0.408 0.953
Nd2 0.079 0.080 0.291
Nd3 0.921 0.920 0.709
Nd4 0.936 0.718 0.930
Nd5 0.421 0.080 0.791
Nd6 0.064 0.282 0.070
Nd7 0.196 0.592 0.547
Nd8 0.579 0.920 0.209
Nd9 0.436 0.282 0.570
Nd10 0.564 0.718 0.430
Nd11 0.304 0.592 0.047
Nd12 0.804 0.408 0.453
Pb1 0.750 0.095 0.046
Pb2 0.250 0.905 0.954
Pb3 0.250 0.905 0.454
Pb4 0.750 0.095 0.546
Pr1 0.565 0.712 0.788
Pr2 0.435 0.288 0.212
Pr3 0.065 0.288 0.712
Pr4 0.935 0.712 0.288
```

***

2.
Compound: Na2As2Pd5Au
Source: Alexandria via LeMat-Bulk
Functional: GGA-PBE
Structure: optimized geometry

The crystal system is tetragonal. As for the formation energy from the elements: -348 meV/atom.

```
data_Na2As2Pd5Au
_chemical_formula_sum 'Na4 As4 Pd10 Au2'
_cell_length_a 3.339
_cell_length_b 10.380
_cell_length_c 10.380
_cell_angle_alpha 90.00
_cell_angle_beta 90.00
_cell_angle_gamma 90.00
_symmetry_space_group_name_H-M 'P 1'
_symmetry_Int_Tables_number 1
loop_
_symmetry_equiv_pos_as_xyz
'x,y,z'
loop_
_atom_site_label
_atom_site_fract_x
_atom_site_fract_y
_atom_site_fract_z
Na1 0.000 0.173 0.327
Na2 0.000 0.327 0.827
Na3 0.000 0.673 0.173
Na4 0.000 0.827 0.673
Pd1 0.500 0.704 0.435
Pd2 0.500 0.204 0.065
Pd3 0.500 0.565 0.704
Pd4 0.500 0.296 0.565
Pd5 0.500 0.796 0.935
Pd6 0.500 0.000 0.500
Pd7 0.500 0.065 0.796
Pd8 0.500 0.935 0.204
Pd9 0.500 0.435 0.296
Pd10 0.500 0.500 0.000
As1 0.000 0.870 0.370
As2 0.000 0.370 0.130
As3 0.000 0.630 0.870
As4 0.000 0.130 0.630
Au1 0.000 0.500 0.500
Au2 0.000 0.000 0.000
```

***

3.
Compound: Si4OsRu2
Source: Alexandria via LeMat-Bulk
Functional: GGA-PBE
Structure: optimized geometry

The crystal system is tetragonal. The value obtained for the formation energy without anion corrections is 0.49 eV per atom.

```
data_Si4OsRu2
_chemical_formula_sum 'Si4 Os1 Ru2'
_cell_length_a 4.535
_cell_length_b 4.535
_cell_length_c 6.805
_cell_angle_alpha 70.54
_cell_angle_beta 70.54
_cell_angle_gamma 90.00
_symmetry_space_group_name_H-M 'P 1'
_symmetry_Int_Tables_number 1
loop_
_symmetry_equiv_pos_as_xyz
'x,y,z'
loop_
_atom_site_label
_atom_site_fract_x
_atom_site_fract_y
_atom_site_fract_z
Si1 0.500 0.000 0.000
Si2 0.798 0.798 0.404
Si3 0.202 0.202 0.596
Si4 0.000 0.500 0.000
Os1 0.000 0.000 0.000
Ru1 0.390 0.390 0.220
Ru2 0.610 0.610 0.780
```

***

no.,raw total energy (eV per atom),total magnetization (μB/f.u.)
1,-4.729,0.000
2,-4.466,0.000
3,-6.866,1.136